# 1
This record from Alexandria via LeMat-Bulk describes a relaxed PPd4 crystal. The functional is PBE.

Cell: 5.2027 7.6257 5.7354 Å, 90.00 90.11 90.00°
With the nearest neighbours (Å) after each atom.
Space group Pm (No. 6)
Asymmetric unit:
1 P 0.0000 0.0000 0.0000 (multiplicity 1)  6 Pd 2.29-2.39
2 P 0.0847 0.5000 0.2347 (multiplicity 1)  6 Pd 2.30-2.37
3 P 0.5849 0.0000 0.5074 (multiplicity 1)  6 Pd 2.29-2.41
4 Pd 0.1668 0.0000 0.6292 (multiplicity 1)  2 P 2.29-2.30
5 Pd 0.2140 0.3133 0.9328 (multiplicity 2)  1 P 2.34
6 Pd 0.3707 0.3157 0.4429 (multiplicity 2)  1 P 2.37
7 Pd 0.4153 0.0000 0.1334 (multiplicity 1)  2 P 2.29-2.32
8 Pd 0.6705 0.5000 0.0806 (multiplicity 1)  1 P 2.33
9 Pd 0.7131 0.1923 0.7982 (multiplicity 2)  2 P 2.32-2.39
10 Pd 0.8682 0.1910 0.2938 (multiplicity 2)  2 P 2.33-2.41
11 Pd 0.8885 0.5000 0.5942 (multiplicity 1)  1 P 2.30

Computed properties:
ΔE to the lowest computed polymorph in eV/atom: 0.0044

# 2
This record from Alexandria via LeMat-Bulk describes a relaxed Tb4Pr3Tm crystal. The functional is PBE.

Cell: 3.5067 11.7669 13.0864 Å, 90.00 90.00 90.00°
With the nearest neighbours (Å) after each atom.
Space group Immm (No. 71)
Asymmetric unit:
1 Tb 0.0000 0.2450 0.1342 (multiplicity 8)  1 Tm 3.38, 3 Pr 3.41-3.66, 5 Tb 3.50-3.51
2 Pr 0.0000 0.0000 0.5000 (multiplicity 2)  6 Pr 3.51-3.80, 8 Tb 3.89
3 Pr 0.0000 0.5000 0.2578 (multiplicity 4)  6 Tb 3.41-3.66, 4 Pr 3.51-3.80, 2 Tm 3.62
4 Tm 0.0000 0.0000 0.0000 (multiplicity 2)  4 Tb 3.38, 2 Tm 3.51, 4 Pr 3.62

Computed properties:
ΔE to the lowest computed polymorph in eV/atom: 0.1213

What energy of formation values result from the calculations? In sequence: -375.6 124.2 meV per atom.